Record 1
Crystalline K3CaPd at its relaxed geometry. Source: the Alexandria database, functional PBE.

```
data_K3CaPd
_chemical_formula_sum 'K3 Ca1 Pd1'
_space_group_name_H-M_alt 'P m -3 m'
_space_group_IT_number 221
_space_group_name_Hall '-P 4 2 3'
_cell_length_a 6.3293
_cell_length_b 6.3293
_cell_length_c 6.3293
_cell_angle_alpha 90.00
_cell_angle_beta 90.00
_cell_angle_gamma 90.00
loop_
_atom_site_label
_atom_site_type_symbol
_atom_site_fract_x
_atom_site_fract_y
_atom_site_fract_z
_atom_site_occupancy
K1 K 0.0000 0.0000 0.5000 1
Ca1 Ca 0.5000 0.5000 0.5000 1
Pd1 Pd 0.0000 0.0000 0.0000 1
```

Theoretical density ... 1.73 Mg/m³
Calculated volume ... 50.71 Å³/atom
ΔH_f (0 K) ... 0.24 eV per atom
Polymorph energy (0 for the lowest one) ... 0 kJ/mol of formula units
Total moment ... 0.00 μB/atom

Record 2
Crystalline Dy5YEr2 at its relaxed geometry. Source: the Alexandria database, functional PBE.

```
data_Dy5YEr2
_chemical_formula_sum 'Dy10 Y2 Er4'
_space_group_name_H-M_alt 'P b a m'
_space_group_IT_number 55
_space_group_name_Hall '-P 2 2ab'
_cell_length_a 7.0757
_cell_length_b 14.1518
_cell_length_c 4.9968
_cell_angle_alpha 90.00
_cell_angle_beta 90.00
_cell_angle_gamma 90.00
loop_
_atom_site_label
_atom_site_type_symbol
_atom_site_fract_x
_atom_site_fract_y
_atom_site_fract_z
_atom_site_occupancy
Dy1 Dy 0.0000 0.0000 0.0000 1
Dy2 Dy 0.9995 0.2494 0.0000 1
Dy3 Dy 0.2491 0.1253 0.5000 1
Y1 Y 0.0000 0.5000 0.0000 1
Er1 Er 0.2503 0.3747 0.5000 1
```

Theoretical density ... 8.20 Mg/m³
Calculated volume ... 31.27 Å³/atom
ΔH_f (0 K) ... 0.02 eV per atom
Total moment ... 0.00 μB/atom

Record 3
Crystalline TaZn2As at its relaxed geometry. Source: the Alexandria database, functional PBE.

```
data_TaZn2As
_chemical_formula_sum 'Ta2 Zn4 As2'
_space_group_name_H-M_alt 'C m m m'
_space_group_IT_number 65
_space_group_name_Hall '-C 2 2'
_cell_length_a 5.1770
_cell_length_b 8.5978
_cell_length_c 2.9997
_cell_angle_alpha 90.00
_cell_angle_beta 90.00
_cell_angle_gamma 90.00
loop_
_atom_site_label
_atom_site_type_symbol
_atom_site_fract_x
_atom_site_fract_y
_atom_site_fract_z
_atom_site_occupancy
Ta1 Ta 0.0000 0.0000 0.0000 1
Zn1 Zn 0.2500 0.2500 0.5000 1
As1 As 0.0000 0.5000 0.0000 1
```

Theoretical density ... 9.62 Mg/m³
Calculated volume ... 16.69 Å³/atom
ΔH_f (0 K) ... 0.08 eV per atom
Total moment ... 0.00 μB/atom

Record 4
Crystalline Zn2BPtSe at its relaxed geometry. Source: the Alexandria database, functional PBE.

```
data_Zn2BPtSe
_chemical_formula_sum 'Zn2 B1 Pt1 Se1'
_space_group_name_H-M_alt 'P 4/m m m'
_space_group_IT_number 123
_space_group_name_Hall '-P 4 2'
_cell_length_a 4.8042
_cell_length_b 4.8042
_cell_length_c 3.9532
_cell_angle_alpha 90.00
_cell_angle_beta 90.00
_cell_angle_gamma 90.00
loop_
_atom_site_label
_atom_site_type_symbol
_atom_site_fract_x
_atom_site_fract_y
_atom_site_fract_z
_atom_site_occupancy
Zn1 Zn 0.0000 0.5000 0.0000 1
B1 B 0.0000 0.0000 0.5000 1
Pt1 Pt 0.5000 0.5000 0.5000 1
Se1 Se 0.0000 0.0000 0.0000 1
```

Theoretical density ... 7.56 Mg/m³
Calculated volume ... 18.25 Å³/atom
ΔE_f (raw) ... 1.105 eV per atom
Total moment ... 0.00 μB/atom

Record 5
Crystalline HoTh2OsC4 at its relaxed geometry. Source: the Alexandria database, functional PBE.

```
data_HoTh2OsC4
_chemical_formula_sum 'Ho4 Th8 Os4 C16'
_space_group_name_H-M_alt 'C m c m'
_space_group_IT_number 63
_space_group_name_Hall '-C 2c 2'
_cell_length_a 3.6259
_cell_length_b 12.1417
_cell_length_c 12.4456
_cell_angle_alpha 90.00
_cell_angle_beta 90.00
_cell_angle_gamma 90.00
loop_
_atom_site_label
_atom_site_type_symbol
_atom_site_fract_x
_atom_site_fract_y
_atom_site_fract_z
_atom_site_occupancy
Ho1 Ho 0.0000 0.1211 0.2500 1
Th1 Th 0.0000 0.3661 0.0380 1
Os1 Os 0.0000 0.1508 0.7500 1
C1 C 0.0000 0.0000 0.0000 1
C2 C 0.0000 0.2658 0.6383 1
C3 C 0.0000 0.4227 0.2500 1
```

Theoretical density ... 10.51 Mg/m³
Calculated volume ... 17.12 Å³/atom
ΔH_f (0 K) ... 0.04 eV per atom
Total moment ... 0.00 μB/atom

Record 6
Crystalline La4Tl2Sn at its relaxed geometry. Source: the Alexandria database, functional PBE.

```
data_La4Tl2Sn
_chemical_formula_sum 'La8 Tl4 Sn2'
_space_group_name_H-M_alt 'I 4/m m m'
_space_group_IT_number 139
_space_group_name_Hall '-I 4 2'
_cell_length_a 6.0062
_cell_length_b 6.0062
_cell_length_c 15.8957
_cell_angle_alpha 90.00
_cell_angle_beta 90.00
_cell_angle_gamma 90.00
loop_
_atom_site_label
_atom_site_type_symbol
_atom_site_fract_x
_atom_site_fract_y
_atom_site_fract_z
_atom_site_occupancy
La1 La 0.0000 0.0000 0.1944 1
La2 La 0.0000 0.5000 0.0000 1
Tl1 Tl 0.0000 0.0000 0.3920 1
Sn1 Sn 0.0000 0.0000 0.0000 1
```

Theoretical density ... 6.27 Mg/m³
Calculated volume ... 40.96 Å³/atom
ΔH_f (0 K) ... -0.15 eV per atom
Polymorph energy (0 for the lowest one) ... 145 kJ/mol of formula units
Total moment ... 0.00 μB/atom

Record 7
Crystalline LiZnHg5 at its relaxed geometry. Source: the Alexandria database, functional PBE.

```
data_LiZnHg5
_chemical_formula_sum 'Li4 Zn4 Hg20'
_space_group_name_H-M_alt 'C 1 2/c 1'
_space_group_IT_number 15
_space_group_name_Hall '-C 2yc'
_cell_length_a 5.5575
_cell_length_b 13.2679
_cell_length_c 9.3486
_cell_angle_alpha 90.00
_cell_angle_beta 106.92
_cell_angle_gamma 90.00
loop_
_atom_site_label
_atom_site_type_symbol
_atom_site_fract_x
_atom_site_fract_y
_atom_site_fract_z
_atom_site_occupancy
Li1 Li 0.0000 0.2419 0.2500 1
Zn1 Zn 0.2500 0.2500 0.0000 1
Hg1 Hg 0.0000 0.1410 0.7500 1
Hg2 Hg 0.1387 0.3808 0.4885 1
Hg3 Hg 0.2106 0.0642 0.1593 1
```

Theoretical density ... 10.83 Mg/m³
Calculated volume ... 23.55 Å³/atom
ΔH_f (0 K) ... -0.05 eV per atom
Total moment ... 0.00 μB/atom